Record 1
VASP calculation (PBE) on a geometry-optimized La2YTa structure.

Values from the calculation:
- symmetry = I-42d (122)
- energy relative to the lowest polymorph listed for this composition (kJ/mol of atoms) = 38.7
- E_form (eV/atom) = 0.72
- size of the total moment (μB/atom) = 0.0000

Cell: 8.849 8.849 7.033 Å, 51.01 51.01 90.00°
Positions (direct):
Ta 0.000 0.000 0.000
Y 0.500 0.500 0.000
La 0.375 0.315 0.750
La 0.065 0.625 0.250
La 0.685 0.125 0.250
La 0.875 0.935 0.750
Ta 0.750 0.250 0.500
Y 0.250 0.750 0.500


Record 2
VASP calculation (PBE) on a geometry-optimized LaY2Ta structure.

Values from the calculation:
- symmetry = P4/mmm (123)
- energy relative to the lowest polymorph listed for this composition (kJ/mol of atoms) = 11.8
- E_form (eV/atom) = 0.39
- size of the total moment (μB/atom) = 0.0000

Cell: 4.773 4.776 4.902 Å, 90.00 90.00 90.00°
Positions (direct):
La 0.500 0.000 0.500
Ta 0.000 0.500 0.500
Y 0.000 0.000 0.000
Y 0.500 0.500 0.000


Record 3
VASP calculation (PBE) on a geometry-optimized LaY3Ta structure.

Values from the calculation:
- symmetry = Pm-3m (221)
- energy relative to the lowest polymorph listed for this composition (kJ/mol of atoms) = 0.0
- E_form (eV/atom) = 0.52
- size of the total moment (μB/atom) = 0.0000

Cell: 5.579 5.579 5.579 Å, 90.00 90.00 90.00°
Positions (direct):
Y 0.000 0.500 0.000
Ta 0.000 0.000 0.000
Y 0.000 0.000 0.500
Y 0.500 0.000 0.000
La 0.500 0.500 0.500


Record 4
VASP calculation (PBE) on a geometry-optimized LaY2Ta structure.

Values from the calculation:
- symmetry = C2/m (12)
- energy relative to the lowest polymorph listed for this composition (kJ/mol of atoms) = 10.1
- E_form (eV/atom) = 0.38
- size of the total moment (μB/atom) = 0.0000

Cell: 5.840 5.840 6.112 Å, 82.04 82.04 32.89°
Positions (direct):
Ta 0.750 0.750 0.750
Y 0.485 0.485 0.521
Y 0.015 0.015 0.979
La 0.250 0.250 0.250


Record 5
VASP calculation (PBE) on a geometry-optimized LaYTa2 structure.

Values from the calculation:
- symmetry = P4mm (99)
- energy relative to the lowest polymorph listed for this composition (kJ/mol of atoms) = 0.0
- E_form (eV/atom) = 0.24
- size of the total moment (μB/atom) = 0.0000

Cell: 3.532 3.532 8.413 Å, 90.00 90.00 90.00°
Positions (direct):
La 0.500 0.500 0.796
Ta 0.500 0.500 0.205
Ta 0.000 0.000 0.058
Y 0.000 0.000 0.442


Record 6
VASP calculation (PBE) on a geometry-optimized LaYTa2 structure.

Values from the calculation:
- symmetry = Imm2 (44)
- energy relative to the lowest polymorph listed for this composition (kJ/mol of atoms) = 19.0
- E_form (eV/atom) = 0.43
- size of the total moment (μB/atom) = 0.0000

Cell: 6.137 6.137 6.137 Å, 145.35 129.08 63.07°
Positions (direct):
Y 0.511 0.511 0.000
Ta 0.968 0.968 0.000
La 0.236 0.736 0.500
Ta 0.785 0.285 0.500


Please write out number 4 again, unchanged.
VASP calculation (PBE) on a geometry-optimized LaY2Ta structure.

Values from the calculation:
- symmetry = C2/m (12)
- energy relative to the lowest polymorph listed for this composition (kJ/mol of atoms) = 10.1
- E_form (eV/atom) = 0.38
- size of the total moment (μB/atom) = 0.0000

Cell: 5.840 5.840 6.112 Å, 82.04 82.04 32.89°
Positions (direct):
Ta 0.750 0.750 0.750
Y 0.485 0.485 0.521
Y 0.015 0.015 0.979
La 0.250 0.250 0.250